[1]
Computed, not measured: a relaxed structure of Ba2ZrBr2N2 at the GGA-PBE level of DFT.

Summary:
ΔE_f (raw): -1484 meV/atom

Lattice parameters (Å, degrees): 4.481 4.481 17.141 90.00 90.00 90.00
Space group I4/mmm (No. 139)
One atom of each set of equivalent atoms:
Ba (0.000, 0.000, 0.103) (multiplicity 4)
Zr (0.000, 0.000, 0.500) (multiplicity 2)
Br (0.000, 0.000, 0.328) (multiplicity 4)
N (0.000, 0.500, 0.000) (multiplicity 4)

=====

[2]
Computed, not measured: a relaxed structure of BaNdTe2F at the GGA-PBE level of DFT.

Summary:
ΔE_f (raw): -2193 meV/atom

Lattice parameters (Å, degrees): 4.533 4.533 16.077 90.00 90.00 90.00
Space group P4/nmm (No. 129, origin choice 2)
One atom of each set of equivalent atoms:
Ba (0.250, 0.250, 0.092) (multiplicity 2)
Nd (0.250, 0.250, 0.620) (multiplicity 2)
Te (0.250, 0.250, 0.409) (multiplicity 2)
Te (0.250, 0.250, 0.802) (multiplicity 2)
F (0.250, 0.750, 0.000) (multiplicity 2)

=====

[3]
Computed, not measured: a relaxed structure of Ce3HoCo8 at the GGA-PBE level of DFT.

Summary:
formation energy from the elements: -0.226 eV per atom

Lattice parameters (Å, degrees): 5.0017 5.0017 24.4672 90.00 90.00 120.00
Space group R3m (No. 160, hexagonal axes)
One atom of each set of equivalent atoms:
Ce (0.0000, 0.0000, 0.0000) (multiplicity 3)
Ce (0.0000, 0.0000, 0.1241) (multiplicity 3)
Ce (0.0000, 0.0000, 0.6292) (multiplicity 3)
Ho (0.0000, 0.0000, 0.5028) (multiplicity 3)
Co (0.0000, 0.0000, 0.3143) (multiplicity 3)
Co (0.0000, 0.0000, 0.8150) (multiplicity 3)
Co (0.0013, 0.5006, 0.0649) (multiplicity 9)
Co (0.1671, 0.3342, 0.8973) (multiplicity 9)

=====

[4]
Computed, not measured: a relaxed structure of PaHg2PdO6 at the GGA-PBE level of DFT.

Summary:
ΔE_f (raw): -1342 meV/atom

Lattice parameters (Å, degrees): 5.663 5.786 5.880 118.16 90.03 118.75
Space group P-1 (No. 2)
One atom of each set of equivalent atoms:
Pa (0.000, 0.000, 0.000) (multiplicity 1)
Hg (0.249, 0.481, 0.725) (multiplicity 2)
Pd (0.500, 0.000, 0.500) (multiplicity 1)
O (0.121, 0.477, 0.245) (multiplicity 2)
O (0.273, 0.118, 0.751) (multiplicity 2)
O (0.363, 0.120, 0.276) (multiplicity 2)